Entry 1:
Computed, not measured: a relaxed Pu2NpCuSe5 crystal at the PBE-GGA level of DFT.

Output
The total magnetic moment is 14.382 μB/cell. The raw total energy is -8.135 eV per atom. For the formation energy from raw total energies, the calculation gives -1.12 eV per atom. The space group is Cmc2_1 (36).

Structure (POSCAR):
```
Pu2NpCuSe5
1.0
-0.003 -4.019 0.310
8.777 2.052 0.471
-0.862 0.927 12.016
Se Pu Np Cu
10 4 2 2
Direct
0.958 0.917 0.553
0.705 0.409 0.180
0.295 0.591 0.680
0.360 0.720 0.007
0.042 0.083 0.053
0.312 0.624 0.348
0.688 0.376 0.848
0.501 0.002 0.270
0.640 0.280 0.507
0.499 0.998 0.770
0.109 0.218 0.686
0.884 0.768 0.820
0.116 0.232 0.320
0.891 0.782 0.186
0.803 0.606 0.515
0.197 0.394 0.015
0.563 0.127 0.945
0.437 0.873 0.445
```


Entry 2:
Computed, not measured: a relaxed RbNpCuS4 crystal at the PBE-GGA level of DFT.

Output
The total magnetic moment is 4.372 μB/cell. The raw total energy is -5.837 eV per atom. For the formation energy from raw total energies, the calculation gives -0.91 eV per atom. The space group is P2_1/m (11).

Structure (POSCAR):
```
RbNpCuS4
1.0
-0.567 2.451 -6.235
1.777 -4.750 -2.029
-8.235 -3.922 1.971
Np S Cu Rb
2 8 2 2
Direct
0.732 0.750 0.444
0.268 0.250 0.556
0.985 0.480 0.307
0.422 0.750 0.575
0.468 0.750 0.187
0.578 0.250 0.425
0.985 0.020 0.307
0.532 0.250 0.813
0.015 0.980 0.693
0.015 0.520 0.693
0.751 0.250 0.670
0.249 0.750 0.330
0.756 0.750 0.954
0.244 0.250 0.046
```